Below is crystalline Pm3Pr3Ho4 at its relaxed geometry, with properties calculated at the PBE level.

The structure in extended XYZ format:
```
10
Lattice="3.6707 0.0000 0.0000 0.0000 9.6761 -0.0399 0.0000 0.0452 9.6760" Properties=species:S:1:pos:R:3 pbc="T T T"
Pm 1.8353 7.9909 1.6602
Pm 1.8353 3.1689 3.1331
Pm 1.8353 6.5604 6.4950
Pr 0.0000 4.8519 -0.0162
Pr 0.0000 9.6948 4.7843
Pr 1.8353 1.7270 7.9794
Ho 0.0000 6.0419 3.6264
Ho 0.0000 3.6915 5.9975
Ho 0.0000 8.5150 8.4671
Ho 0.0000 1.1796 1.1960
```

## Properties
Energy relative to the elements ... 88 meV per atom
DOS at the Fermi energy ... 9.9 states/eV per cell